[1]
A relaxed Ac2Al2Tc2C crystal, computed with GGA-PBE.

Values from the calculation:
Its electronic total energy is -6.7485 eV/atom.

Cell lengths 11.367, 4.495, 7.839 Å; angles 90.00, 130.17, 90.00 degrees
Space group C2/m (No. 12)
One atom of each set of equivalent atoms:
Ac  0.059  0.000  0.325 [4 per cell]
Al  0.166  0.500  0.101 [4 per cell]
Tc  0.194  0.500  0.799 [4 per cell]
C  0.000  0.500  0.500 [2 per cell]


[2]
A relaxed AcAl2Tc2C crystal, computed with GGA-PBE.

Values from the calculation:
Its electronic total energy is -7.2492 eV/atom.

Cell lengths 4.239, 4.239, 5.837 Å; angles 90.00, 90.00, 90.00 degrees
Space group P4/mmm (No. 123)
One atom of each set of equivalent atoms:
Ac  0.000  0.000  0.000 [1 per cell]
Al  0.500  0.500  0.241 [2 per cell]
Tc  0.000  0.500  0.500 [2 per cell]
C  0.000  0.000  0.500 [1 per cell]


[3]
A relaxed CaAc2Al9 crystal, computed with GGA-PBE.

Values from the calculation:
Its electronic total energy is -3.9054 eV/atom.

Cell lengths 5.8821, 5.8821, 26.8282 Å; angles 90.00, 90.00, 120.00 degrees
Space group R-3m (No. 166, hexagonal axes)
One atom of each set of equivalent atoms:
Ca  0.0000  0.0000  0.0000 [3 per cell]
Ac  0.0000  0.0000  0.1408 [6 per cell]
Al  0.0000  0.0000  0.3354 [6 per cell]
Al  0.0000  0.0000  0.5000 [3 per cell]
Al  0.0086  0.5043  0.9203 [18 per cell]


[4]
A relaxed CaAcAl2 crystal, computed with GGA-PBE.

Values from the calculation:
Its electronic total energy is -3.5972 eV/atom.

Cell lengths 3.861, 3.861, 7.611 Å; angles 90.00, 90.00, 90.00 degrees
Space group P4/mmm (No. 123)
One atom of each set of equivalent atoms:
Ca  0.000  0.000  0.000 [1 per cell]
Ac  0.000  0.000  0.500 [1 per cell]
Al  0.500  0.500  0.220 [2 per cell]


[5]
A relaxed Ca2AcAl crystal, computed with GGA-PBE.

Values from the calculation:
The offset from the most stable computed form is 0.000 eV per atom. Its electronic total energy is -3.0183 eV/atom.

Cell lengths 3.722, 3.722, 10.008 Å; angles 90.00, 90.00, 90.00 degrees
Space group P4/mmm (No. 123)
One atom of each set of equivalent atoms:
Ca  0.000  0.000  0.191 [2 per cell]
Ac  0.500  0.500  0.500 [1 per cell]
Al  0.500  0.500  0.000 [1 per cell]


[6]
A relaxed CaAcAl crystal, computed with GGA-PBE.

Values from the calculation:
The offset from the most stable computed form is 0.154 eV per atom. Its electronic total energy is -3.3329 eV/atom.

Cell lengths 7.685, 7.685, 7.685 Å; angles 90.00, 90.00, 90.00 degrees
Space group F-43m (No. 216)
One atom of each set of equivalent atoms:
Ca  0.000  0.000  0.000 [4 per cell]
Ac  0.000  0.000  0.500 [4 per cell]
Al  0.250  0.250  0.750 [4 per cell]


[7]
A relaxed CaAcAl2 crystal, computed with GGA-PBE.

Values from the calculation:
Its electronic total energy is -3.5746 eV/atom.

Cell lengths 4.457, 15.826, 7.549 Å; angles 90.00, 90.00, 90.00 degrees
Space group Cmcm (No. 63)
One atom of each set of equivalent atoms:
Ca  0.000  0.118  0.250 [4 per cell]
Ac  0.000  0.396  0.250 [4 per cell]
Al  0.000  0.249  0.581 [8 per cell]


[8]
A relaxed Ca2AcAl crystal, computed with GGA-PBE.

Values from the calculation:
The offset from the most stable computed form is 0.183 eV per atom. Its electronic total energy is -2.8357 eV/atom.

Cell lengths 8.116, 8.116, 8.116 Å; angles 90.00, 90.00, 90.00 degrees
Space group Fm-3m (No. 225)
One atom of each set of equivalent atoms:
Ca  0.250  0.250  0.250 [8 per cell]
Ac  0.000  0.000  0.000 [4 per cell]
Al  0.000  0.000  0.500 [4 per cell]


Result set for energy relative to the elements: -0.23; -0.32; -0.25; -0.20; -0.05; -0.05; -0.18; 0.13 eV per atom, one per record in the order listed.